Record 1
The following is a DFT calculation (PBE) of a relaxed structure of Hf2GaN.

Cell lengths 5.558, 5.558, 14.259 Å; angles 101.25, 101.25, 60.00 degrees
Atoms (fractional coordinates):
1 Ga 0.249 0.417 0.750
2 Hf 0.697 0.864 0.091
3 Ga 0.751 0.583 0.250
4 Hf 0.636 0.470 0.909
5 N 0.333 0.833 0.000
6 Hf 0.803 0.969 0.409
7 Hf 0.470 0.636 0.409
8 Hf 0.969 0.803 0.909
9 Ga 0.583 0.751 0.750
10 N 0.667 0.167 0.000
11 N 0.500 0.000 0.500
12 N 0.000 0.500 0.000
13 Hf 0.303 0.136 0.909
14 Hf 0.031 0.197 0.091
15 Ga 0.918 0.082 0.750
16 Ga 0.417 0.249 0.250
17 Hf 0.136 0.303 0.409
18 Hf 0.364 0.530 0.091
19 Hf 0.530 0.364 0.591
20 N 0.833 0.333 0.500
21 Ga 0.082 0.918 0.250
22 N 0.167 0.667 0.500
23 Hf 0.197 0.031 0.591
24 Hf 0.864 0.697 0.591

Output
For the total DFT energy (no corrections), the calculation gives -8.955 eV/atom.

=====

Record 2
The following is a DFT calculation (PBE) of a relaxed structure of PrErSi2.

Cell lengths 3.889, 5.816, 8.080 Å; angles 90.00, 90.00, 90.00 degrees
Atoms (fractional coordinates):
1 Si 0.500 0.869 0.464
2 Er 0.500 0.365 0.320
3 Pr 0.000 0.135 0.679
4 Si 0.000 0.619 0.537
5 Pr 0.000 0.865 0.179
6 Si 0.500 0.131 0.964
7 Si 0.000 0.381 0.037
8 Er 0.500 0.635 0.820

Output
For the total DFT energy (no corrections), the calculation gives -5.806 eV/atom. As for the energy above the most stable polymorph in this dataset: 0.05 eV/f.u.

=====

Record 3
The following is a DFT calculation (PBE) of a relaxed structure of SiAuNO.

Cell lengths 4.009, 4.009, 7.427 Å; angles 90.00, 90.00, 90.00 degrees
Atoms (fractional coordinates):
1 O 0.000 0.000 0.000
2 N 0.000 0.500 0.587
3 N 0.500 0.000 0.413
4 Au 0.500 0.500 0.500
5 Si 0.500 0.000 0.905
6 Si 0.000 0.500 0.095
7 O 0.500 0.500 0.000
8 Au 0.000 0.000 0.500

Output
For the total DFT energy (no corrections), the calculation gives -4.910 eV/atom. As for the energy above the most stable polymorph in this dataset: 6.77 eV/f.u.

=====

Please write out number 2 again, unchanged.
The following is a DFT calculation (PBE) of a relaxed structure of PrErSi2.

Cell lengths 3.889, 5.816, 8.080 Å; angles 90.00, 90.00, 90.00 degrees
Atoms (fractional coordinates):
1 Si 0.500 0.869 0.464
2 Er 0.500 0.365 0.320
3 Pr 0.000 0.135 0.679
4 Si 0.000 0.619 0.537
5 Pr 0.000 0.865 0.179
6 Si 0.500 0.131 0.964
7 Si 0.000 0.381 0.037
8 Er 0.500 0.635 0.820

Output
For the total DFT energy (no corrections), the calculation gives -5.806 eV/atom. As for the energy above the most stable polymorph in this dataset: 0.05 eV/f.u.

=====

Please write out number 1 again, unchanged.
The following is a DFT calculation (PBE) of a relaxed structure of Hf2GaN.

Cell lengths 5.558, 5.558, 14.259 Å; angles 101.25, 101.25, 60.00 degrees
Atoms (fractional coordinates):
1 Ga 0.249 0.417 0.750
2 Hf 0.697 0.864 0.091
3 Ga 0.751 0.583 0.250
4 Hf 0.636 0.470 0.909
5 N 0.333 0.833 0.000
6 Hf 0.803 0.969 0.409
7 Hf 0.470 0.636 0.409
8 Hf 0.969 0.803 0.909
9 Ga 0.583 0.751 0.750
10 N 0.667 0.167 0.000
11 N 0.500 0.000 0.500
12 N 0.000 0.500 0.000
13 Hf 0.303 0.136 0.909
14 Hf 0.031 0.197 0.091
15 Ga 0.918 0.082 0.750
16 Ga 0.417 0.249 0.250
17 Hf 0.136 0.303 0.409
18 Hf 0.364 0.530 0.091
19 Hf 0.530 0.364 0.591
20 N 0.833 0.333 0.500
21 Ga 0.082 0.918 0.250
22 N 0.167 0.667 0.500
23 Hf 0.197 0.031 0.591
24 Hf 0.864 0.697 0.591

Output
For the total DFT energy (no corrections), the calculation gives -8.955 eV/atom.

=====

total DFT energy (no corrections) of number 1 (Hf2GaN)?
-8.955 eV/atom